[1]
Here is a crystal of Be2CrRh relaxed with PBEsol from the Alexandria database. Energies are from meta-GGA SCAN.

Cell and atoms, written as POSCAR:
```
Be2CrRh
1.0
1.289 0.744 7.477
-1.289 0.744 7.477
0.000 -1.489 7.477
Be Cr Rh
2 1 1
direct
0.248 0.248 0.248
0.752 0.752 0.752
0.000 0.000 0.000
0.500 0.500 0.500
```

Computed properties:
Energy of formation from the pure elements in eV per atom: -0.035
Polymorph energy (0 for the lowest one) in kcal/mol of atoms: 6.59

=====

[2]
Here is a crystal of SrTeMo2 relaxed with PBEsol from the Alexandria database. Energies are from meta-GGA SCAN.

Cell and atoms, written as POSCAR:
```
SrTeMo2
1.0
3.812 0.000 0.000
0.000 4.421 0.000
0.000 0.000 4.885
Sr Te Mo
1 1 2
direct
0.000 0.000 0.000
0.500 0.500 0.000
0.000 0.500 0.500
0.500 0.000 0.500
```

Computed properties:
Formation energy without anion corrections in eV/f.u.: 3.225

=====

[3]
Here is a crystal of InRh2Au relaxed with PBEsol from the Alexandria database. Energies are from meta-GGA SCAN.

Cell and atoms, written as POSCAR:
```
InRh2Au
1.0
1.441 0.832 8.910
-1.441 0.832 8.910
0.000 -1.664 8.910
In Rh Au
1 2 1
direct
0.000 0.000 0.000
0.251 0.251 0.251
0.508 0.508 0.508
0.757 0.757 0.757
```

Computed properties:
Energy of formation from the pure elements in eV per atom: 0.133

=====

[4]
Here is a crystal of BaNaNiH2 relaxed with PBEsol from the Alexandria database. Energies are from meta-GGA SCAN.

Cell and atoms, written as POSCAR:
```
BaNaNiH2
1.0
4.267 0.000 0.000
0.000 4.267 0.000
0.000 0.000 4.619
Ba Na Ni H
1 1 1 2
direct
0.000 0.000 0.000
0.500 0.500 0.000
0.500 0.500 0.500
0.000 0.500 0.500
0.500 0.000 0.500
```

Computed properties:
E_tot in eV/f.u.: -64.33